11
Lattice="4.634 0.000 0.000 0.000 5.886 -0.181 -2.317 -2.730 7.100" Properties=species:S:1:pos:R:3 comment="Er2GePd8, optimized geometry, DFT PBE" magnetic_moment_mub_per_fu=0.00 e_form_ev_per_fu=-7.71 crystal_system=orthorhombic total_energy_ev_per_cell=-63.0 pbc="T T T"
Pd 2.317 1.709 6.962
Pd 0.000 0.077 2.574
Pd 0.000 1.447 -0.044
Pd 2.317 3.079 4.344
Pd 0.000 1.580 5.092
Pd 0.000 -1.268 5.181
Pd 2.317 1.575 1.827
Er 0.000 3.021 2.546
Ge 2.317 0.000 0.000
Er 2.317 0.134 4.373
Pd 2.317 4.424 1.738



8
Lattice="-3.370 -0.657 1.886 -0.138 -6.323 -2.449 3.171 0.165 5.726" Properties=species:S:1:pos:R:3 comment="Li2TmPuS4, optimized geometry, DFT PBE" magnetic_moment_mub_per_fu=5.00 crystal_system=monoclinic raw_formation_energy_ev_per_atom=-1.6863 total_energy_ev_per_cell=-52.6 pbc="T T T"
Li -0.100 -0.246 3.806
S 0.687 -4.732 -0.421
Pu -1.754 -3.490 -0.282
Tm 0.000 0.000 0.000
S 2.347 -1.427 3.698
Li 1.517 -3.079 1.638
S 0.588 -4.983 3.385
S -0.925 -1.833 1.777



12
Lattice="-2.327 -2.520 -3.141 5.959 -7.823 1.862 -7.374 0.893 8.190" Properties=species:S:1:pos:R:3 comment="Ba6PdAu2Br3, optimized geometry, DFT PBE" magnetic_moment_mub_per_fu=0.00 crystal_system=monoclinic raw_formation_energy_ev_per_atom=-1.1708 total_energy_ev_per_cell=-42.4 pbc="T T T"
Ba -0.479 -7.317 6.225
Ba -0.706 -5.841 1.766
Ba -3.036 -3.609 5.145
Ba -3.263 -2.133 0.685
Au -2.883 -6.705 4.072
Ba -4.998 -7.673 6.416
Ba 1.256 -1.776 0.495
Au -0.859 -2.744 2.839
Pd -1.164 -1.260 -1.571
Br 2.134 -6.654 3.758
Br -5.876 -2.796 3.153
Br 1.816 -5.172 -0.640



5
Lattice="5.728 0.000 0.000 0.000 5.728 0.000 0.000 0.000 5.728" Properties=species:S:1:pos:R:3 comment="Ba3GeB, optimized geometry, DFT PBE" magnetic_moment_mub_per_fu=0.00 e_form_ev_per_fu=1.56 crystal_system=cubic total_energy_ev_per_cell=-15.5 pbc="T T T"
B 0.000 0.000 0.000
Ge 2.864 2.864 2.864
Ba 0.000 0.000 2.864
Ba 0.000 2.864 0.000
Ba 2.864 0.000 0.000



5
Lattice="-0.142 -2.715 -2.706 0.740 -2.677 2.647 -4.124 -0.465 0.683" Properties=species:S:1:pos:R:3 comment="Mn2CdCuN, optimized geometry, DFT PBE" magnetic_moment_mub_per_fu=4.02 crystal_system=tetragonal raw_formation_energy_ev_per_atom=0.0190 total_energy_ev_per_cell=-31.6 pbc="T T T"
Mn -0.071 -1.358 -1.353
Cd -1.763 -2.928 0.311
N 0.000 0.000 0.000
Cu -2.062 -0.232 0.341
Mn 0.370 -1.338 1.323



4
Lattice="-0.742 -3.146 2.743 1.096 -4.093 0.141 4.575 0.543 3.035" Properties=species:S:1:pos:R:3 comment="Fe2SiPb, optimized geometry, DFT PBE" magnetic_moment_mub_per_fu=4.20 crystal_system=monoclinic raw_formation_energy_ev_per_atom=0.3015 total_energy_ev_per_cell=-24.9 pbc="T T T"
Fe 0.814 -1.929 1.277
Fe 4.852 -6.648 5.846
Si 4.321 -4.648 4.744
Pb 2.336 -3.516 2.929



14
Lattice="-4.133 -2.143 3.093 -6.785 -2.975 -6.076 3.188 -8.306 3.557" Properties=species:S:1:pos:R:3 comment="Pm3Er8Tm3, optimized geometry, DFT PBE" magnetic_moment_mub_per_fu=0.00 e_form_ev_per_fu=1.57 crystal_system=orthorhombic total_energy_ev_per_cell=-62.6 pbc="T T T"
Tm -4.022 -4.016 1.942
Tm -3.708 -9.408 -1.368
Er -4.824 -9.768 1.941
Pm 1.369 -7.334 1.800
Pm -4.967 -3.947 -4.319
Er -2.906 -3.655 -1.367
Pm -2.066 -1.071 1.546
Tm -3.865 -6.712 0.287
Er -6.154 -4.070 -0.943
Er -1.577 -9.353 1.517
Er -5.984 -6.997 -2.739
Er -1.747 -6.426 3.313
Er -0.858 -4.750 0.612
Er -6.872 -8.673 -0.038



4
Lattice="0.000 4.024 4.024 4.024 0.000 4.024 4.024 4.024 0.000" Properties=species:S:1:pos:R:3 comment="CsMnCd2, optimized geometry, DFT PBE" magnetic_moment_mub_per_fu=4.22 e_form_ev_per_fu=2.44 crystal_system=cubic total_energy_ev_per_cell=-9.4 pbc="T T T"
Cd 6.037 6.037 6.037
Mn 0.000 0.000 0.000
Cd 2.012 2.012 2.012
Cs 4.024 4.024 4.024



4
Lattice="-0.153 -0.192 3.805 3.810 0.027 0.155 -0.035 3.808 0.190" Properties=species:S:1:pos:R:3 comment="V3Ru, optimized geometry, DFT PBE" magnetic_moment_mub_per_fu=0.47 e_form_ev_per_fu=0.24 crystal_system=cubic total_energy_ev_per_cell=-36.4 pbc="T T T"
V 1.828 -0.082 1.980
V -0.094 1.808 1.998
Ru 0.000 0.000 0.000
V 1.887 1.918 0.173



19
Lattice="7.341 0.016 0.014 0.968 7.277 0.014 0.968 0.850 7.227" Properties=species:S:1:pos:R:3 comment="La2Al2Ag15, optimized geometry, DFT PBE" magnetic_moment_mub_per_fu=0.00 e_form_ev_per_fu=-1.60 crystal_system=trigonal total_energy_ev_per_cell=-61.7 pbc="T T T"
Al 8.384 7.359 6.557
La 3.166 2.778 2.476
Ag 3.726 3.270 6.131
Ag 3.726 6.466 2.545
Ag 2.883 0.599 5.060
Ag 2.883 5.096 0.014
Ag 0.968 2.780 5.060
Ag 3.671 0.008 0.007
Ag 5.426 0.266 2.181
Ag 0.484 0.425 3.614
Ag 6.895 2.856 2.545
La 6.111 5.364 4.780
Ag 0.968 5.346 2.181
Ag 5.426 2.197 0.014
Ag 0.484 3.639 0.007
Ag 5.551 4.872 1.124
Al 0.893 0.783 0.698
Ag 2.382 5.287 4.711
Ag 5.551 1.676 4.711



5
Lattice="6.823 0.000 0.000 0.000 6.823 0.000 0.000 0.000 6.823" Properties=species:S:1:pos:R:3 comment="BaNa3Al, optimized geometry, DFT PBE" magnetic_moment_mub_per_fu=0.00 e_form_ev_per_fu=4.98 crystal_system=cubic total_energy_ev_per_cell=-4.6 pbc="T T T"
Na 3.412 0.000 0.000
Al 3.412 3.412 3.412
Na 0.000 3.412 0.000
Na 0.000 0.000 3.412
Ba 0.000 0.000 0.000



12
Lattice="7.047 -0.001 -0.001 -3.522 6.103 -0.001 -1.177 -2.037 6.579" Properties=species:S:1:pos:R:3 comment="Na3PuSn2S6, optimized geometry, DFT PBE" magnetic_moment_mub_per_fu=3.70 crystal_system=monoclinic raw_formation_energy_ev_per_atom=-0.9828 total_energy_ev_per_cell=-62.9 pbc="T T T"
S -0.057 -0.098 5.101
Na 4.644 0.028 3.289
S 2.244 0.000 1.491
Sn 3.515 2.039 -0.001
S 2.405 4.163 1.476
Sn 0.010 4.064 -0.001
S 3.470 2.122 5.086
Pu 0.000 0.000 0.000
Na 1.174 2.033 3.289
S 0.104 4.066 5.086
S -1.122 1.944 1.491
Na -2.296 4.037 3.289